Record 1
DFT (PBE) results for a relaxed structure of Rb3Cr2Se4.

Properties
final energy: -4.811 eV/atom
formation energy without anion corrections: -0.801 eV per atom

```
Rb3Cr2Se4
1.0
7.3863 -5.5542 0.0000
7.3863 5.5542 0.0000
-0.7562 0.0000 7.2762
Rb Cr Se
6 4 8
Direct
0.0949 0.9051 0.7500
0.2383 0.5123 0.4488
0.4877 0.7617 0.0512
0.5123 0.2383 0.9488
0.7617 0.4877 0.5512
0.9051 0.0949 0.2500
0.0879 0.3347 0.9364
0.3347 0.0879 0.4364
0.6653 0.9121 0.5636
0.9121 0.6653 0.0636
0.1201 0.2350 0.6146
0.1771 0.5658 0.9763
0.2350 0.1201 0.1146
0.4342 0.8229 0.5237
0.5658 0.1771 0.4763
0.7650 0.8799 0.8854
0.8229 0.4342 0.0237
0.8799 0.7650 0.3854
```



Record 2
DFT (PBE) results for a relaxed structure of RbCrSe2.

Properties
final energy: -4.882 eV/atom
formation energy without anion corrections: -0.492 eV per atom

```
RbCrSe2
1.0
2.1008 1.2129 7.9490
-2.1008 1.2129 7.9490
0.0000 -2.4257 7.9490
Rb Cr Se
1 1 2
Direct
0.0000 0.0000 0.0000
0.5228 0.5228 0.5228
0.2217 0.2217 0.2217
0.4282 0.4282 0.4282
```



Record 3
DFT (PBE) results for a relaxed structure of RbCr5Se8.

Properties
final energy: -6.147 eV/atom
formation energy without anion corrections: -0.650 eV per atom

```
RbCr5Se8
1.0
9.5273 -1.8529 0.0000
9.5273 1.8529 0.0000
-2.3904 0.0000 8.8287
Rb Cr Se
1 5 8
Direct
0.0000 0.0000 0.0000
0.1587 0.1587 0.4780
0.2044 0.2044 0.8335
0.5000 0.5000 0.5000
0.7956 0.7956 0.1665
0.8413 0.8413 0.5220
0.0757 0.0757 0.6518
0.2613 0.2613 0.3435
0.3285 0.3285 0.0121
0.4139 0.4139 0.6708
0.5861 0.5861 0.3292
0.6715 0.6715 0.9879
0.7387 0.7387 0.6565
0.9243 0.9243 0.3482
```



Record 4
DFT (PBE) results for a relaxed structure of Rb2CrSe2.

Properties
final energy: -4.506 eV/atom
formation energy without anion corrections: -0.801 eV per atom

```
Rb2CrSe2
1.0
-3.6140 7.0220 3.3503
3.6140 -7.0220 3.3503
3.6140 7.0220 -3.3503
Rb Cr Se
4 2 4
Direct
0.1462 0.1653 0.3115
0.3538 0.6653 0.0191
0.6462 0.3347 0.9809
0.8538 0.8347 0.6885
0.2500 0.7500 0.5000
0.7500 0.2500 0.5000
0.1028 0.6745 0.7773
0.3972 0.1745 0.5717
0.6028 0.8255 0.4283
0.8972 0.3255 0.2227
```



Record 5
DFT (PBE) results for a relaxed structure of RbCrSi2Se8.

Properties
final energy: -4.443 eV/atom
formation energy without anion corrections: -0.334 eV per atom

```
RbCrSi2Se8
1.0
6.3520 0.0000 0.0000
-3.1760 5.5010 0.0000
0.0000 0.0000 9.1795
Rb Cr Si Se
1 1 2 8
Direct
0.0000 0.0000 0.0000
0.0000 0.0000 0.5000
0.3333 0.6667 0.7163
0.6667 0.3333 0.2837
0.0220 0.6744 0.3611
0.3256 0.3476 0.3611
0.3333 0.6667 0.9608
0.3476 0.0220 0.6389
0.6524 0.9780 0.3611
0.6667 0.3333 0.0392
0.6744 0.6524 0.6389
0.9780 0.3256 0.6389
```



Record 6
DFT (PBE) results for a relaxed structure of Rb3Sm3CrSe8.

Properties
final energy: -5.033 eV/atom
formation energy without anion corrections: -1.395 eV per atom

```
Rb3Sm3CrSe8
1.0
4.1483 2.3950 8.2518
-4.1483 2.3950 8.2518
0.0000 -4.7900 8.2518
Rb Sm Cr Se
3 3 1 8
Direct
0.0000 0.5000 0.5000
0.5000 0.0000 0.5000
0.5000 0.5000 0.0000
0.0000 0.0000 0.5000
0.0000 0.5000 0.0000
0.5000 0.0000 0.0000
0.5000 0.5000 0.5000
0.2340 0.2340 0.2340
0.2608 0.7109 0.7109
0.2891 0.2891 0.7392
0.2891 0.7392 0.2891
0.7109 0.2608 0.7109
0.7109 0.7109 0.2608
0.7392 0.2891 0.2891
0.7660 0.7660 0.7660
```



Record 7
DFT (PBE) results for a relaxed structure of RbCrSnSe4.

Properties
final energy: -4.599 eV/atom
formation energy without anion corrections: -0.523 eV per atom

```
RbCrSnSe4
1.0
7.1112 0.0000 0.0000
0.0000 7.0031 0.0000
-1.3580 0.0000 8.5690
Rb Cr Sn Se
2 2 2 8
Direct
0.1816 0.2500 0.0769
0.8184 0.7500 0.9231
0.1386 0.7500 0.4611
0.8614 0.2500 0.5389
0.3887 0.2500 0.6483
0.6113 0.7500 0.3517
0.1064 0.0051 0.6747
0.1064 0.4949 0.6747
0.2713 0.7500 0.1964
0.4784 0.7500 0.6062
0.5216 0.2500 0.3938
0.7287 0.2500 0.8036
0.8936 0.5051 0.3253
0.8936 0.9949 0.3253
```



Record 8
DFT (PBE) results for a relaxed structure of Rb2Cr2SnSe6.

Properties
final energy: -4.926 eV/atom
formation energy without anion corrections: -0.736 eV per atom

```
Rb2Cr2SnSe6
1.0
3.3145 -5.7965 0.0000
3.3145 5.7965 0.0000
-2.1162 0.0000 8.1168
Rb Cr Sn Se
2 2 1 6
Direct
0.1630 0.8370 0.0000
0.8370 0.1630 0.0000
0.3326 0.6674 0.5000
0.6674 0.3326 0.5000
0.0000 0.0000 0.5000
0.0561 0.4073 0.6737
0.2974 0.2974 0.3250
0.4073 0.0561 0.6737
0.5927 0.9439 0.3263
0.7026 0.7026 0.6750
0.9439 0.5927 0.3263
```